An optimized crystal structure of AgHg2Sb2, computed with PBE-GGA.

Properties
* density: 9169 kg/m³
* DFT total energy: -2.17 eV/atom
* volume: 136.3 Å³/f.u.
* symmetry: P4/mbm, No. 127
* relative energy among the computed polymorphs: 0.00 kcal/mol of atoms

Cell lengths 7.324, 7.324, 5.082 Å; angles 90.00, 90.00, 90.00 degrees
Sites, in units of the cell vectors:
Ag  0.000  0.000  0.000
Ag  0.500  0.500  0.000
Hg  0.174  0.326  0.500
Hg  0.326  0.826  0.500
Hg  0.674  0.174  0.500
Hg  0.826  0.674  0.500
Sb  0.142  0.642  0.000
Sb  0.358  0.142  0.000
Sb  0.642  0.858  0.000
Sb  0.858  0.358  0.000